## AlV2Si (PBE)

Data for crystalline AlV2Si at its relaxed geometry.

**SG**: P1
**E_form (uncorrected)**: -0.25 eV per atom
**N(E_F)**: 5.03 states/eV/cell

Lattice parameters (Å, degrees): 4.7830 4.9927 5.2250 98.78 92.28 116.75
Closest atoms and distances in Å follow each position.
Fractional positions:
Al  0.0000  0.0000  0.0000  4 Si 2.55-2.77, 2 Al 2.59-2.64, 5 V 2.62-2.79
Al  0.0079  0.0220  0.4987  2 Al 2.59-2.64, 7 V 2.61-2.81, 2 Si 2.62-2.81
V  0.0042  0.4793  0.8409  3 V 2.53-2.72, 3 Al 2.62-2.68, 4 Si 2.62-2.73
V  0.0692  0.5264  0.3320  6 V 2.53-2.80, 3 Si 2.63-2.77, 3 Al 2.64-2.79
V  0.5288  0.0427  0.2562  4 Si 2.57-2.69, 3 V 2.58-2.63, 4 Al 2.62-2.81
V  0.5567  0.5088  0.5840  4 Si 2.54-2.76, 4 V 2.55-2.80, 2 Al 2.61-2.62
Si  0.4726  0.9722  0.7320  7 V 2.54-2.76, 4 Al 2.62-2.81
Si  0.5384  0.5193  0.0904  2 Al 2.55-2.66, 8 V 2.59-2.77


## AlV6Si3 (PBE)

Data for crystalline AlV6Si3 at its relaxed geometry.

**SG**: Cmc2_1
**E_form (uncorrected)**: -0.20 eV per atom
**N(E_F)**: 17.38 states/eV/cell

Lattice parameters (Å, degrees): 7.1736 7.1736 6.0925 90.00 90.00 113.21
Closest atoms and distances in Å follow each position.
Fractional positions:
Al  0.1841  0.8159  0.5000  8 V 2.62-2.87, 3 Si 2.63-2.92
Al  0.8159  0.1841  0.0000  8 V 2.62-2.87, 3 Si 2.63-2.92
V  0.0245  0.4387  0.3164  3 Si 2.48-2.59, 4 V 2.49-2.65, 2 Al 2.67-2.73
V  0.0498  0.9502  0.8401  4 Si 2.53-2.58, 1 Al 2.62, 2 V 2.63
V  0.2502  0.3653  0.0123  4 Si 2.42-2.59, 2 V 2.57-2.65
V  0.2712  0.7288  0.0639  3 Si 2.47-2.48, 6 V 2.49-2.63
V  0.3653  0.2502  0.5123  4 Si 2.42-2.59, 2 V 2.57-2.65
V  0.4387  0.0245  0.8164  3 Si 2.48-2.59, 4 V 2.49-2.65, 2 Al 2.67-2.73
V  0.5613  0.9755  0.3164  3 Si 2.48-2.59, 4 V 2.49-2.65, 2 Al 2.67-2.73
V  0.6347  0.7498  0.0123  4 Si 2.42-2.59, 2 V 2.57-2.65
V  0.7288  0.2712  0.5639  3 Si 2.47-2.48, 6 V 2.49-2.63
V  0.7498  0.6347  0.5123  4 Si 2.42-2.59, 2 V 2.57-2.65
V  0.9502  0.0498  0.3401  4 Si 2.53-2.58, 1 Al 2.62, 2 V 2.63
V  0.9755  0.5613  0.8164  3 Si 2.48-2.59, 4 V 2.49-2.65, 2 Al 2.67-2.73
Si  0.0693  0.2858  0.6670  7 V 2.42-2.58, 1 Al 2.63
Si  0.2858  0.0693  0.1670  7 V 2.42-2.58, 1 Al 2.63
Si  0.4161  0.5839  0.3533  7 V 2.47-2.59
Si  0.5839  0.4161  0.8533  7 V 2.47-2.59
Si  0.7142  0.9307  0.6670  7 V 2.42-2.58, 1 Al 2.63
Si  0.9307  0.7142  0.1670  7 V 2.42-2.58, 1 Al 2.63


## AlVSi (PBE)

Data for crystalline AlVSi at its relaxed geometry.

**SG**: Fmmm
**E_form (uncorrected)**: -0.24 eV per atom
**N(E_F)**: 2.31 states/eV/cell

Lattice parameters (Å, degrees): 5.9874 5.1547 4.5695 75.74 56.55 47.70
Closest atoms and distances in Å follow each position.
Fractional positions:
Al  0.1653  0.8347  0.1653  3 Al 2.57-2.74, 4 Si 2.66, 2 V 2.87
Al  0.8347  0.1653  0.8347  3 Al 2.57-2.74, 4 Si 2.66, 2 V 2.87
V  0.3667  0.3667  0.6333  1 V 2.43, 4 Si 2.52
V  0.6333  0.6333  0.3667  1 V 2.43, 4 Si 2.52
Si  0.2500  0.2500  0.2500  2 Si 2.41, 4 V 2.52, 4 Al 2.66
Si  0.7500  0.7500  0.7500  2 Si 2.41, 4 V 2.52, 4 Al 2.66


## AlV2Si (PBE)

Data for crystalline AlV2Si at its relaxed geometry.

**SG**: P1
**E_form (uncorrected)**: -0.29 eV per atom
**N(E_F)**: 5.51 states/eV/cell

Lattice parameters (Å, degrees): 4.7880 4.8081 4.8752 93.56 96.01 96.63
Closest atoms and distances in Å follow each position.
Fractional positions:
Al  0.0000  0.0000  0.0000  7 V 2.61-2.76, 2 Al 2.73-2.75, 4 Si 2.76-2.89
Al  0.4914  0.1292  0.7658  6 V 2.51-2.70, 2 Si 2.54-2.57, 2 Al 2.73-2.75
V  0.2449  0.5210  0.0096  4 Si 2.46-2.74, 3 Al 2.62-2.70, 1 V 2.65
V  0.5154  0.9954  0.2626  2 Si 2.50-2.64, 4 Al 2.51-2.76, 3 V 2.55-2.68
V  0.6497  0.6377  0.6423  4 Si 2.52-2.59, 3 Al 2.60-2.69, 3 V 2.68-2.81
V  0.9926  0.2265  0.4993  3 Si 2.48-2.54, 1 V 2.55, 3 Al 2.61-2.73
Si  0.1430  0.7380  0.5062  7 V 2.48-2.74, 1 Al 2.54, 1 Si 2.57
Si  0.7492  0.4927  0.1437  6 V 2.46-2.64, 1 Al 2.57, 1 Si 2.57


## AlV2Si (PBE)

Data for crystalline AlV2Si at its relaxed geometry.

**SG**: P4/mmm
**E_form (uncorrected)**: -0.28 eV per atom
**N(E_F)**: 3.19 states/eV/cell

Lattice parameters (Å, degrees): 3.7274 3.7274 3.8709 90.00 90.00 90.00
Closest atoms and distances in Å follow each position.
Fractional positions:
Al  0.0000  0.0000  0.0000  4 Si 2.64, 8 V 2.69
V  0.0000  0.5000  0.5000  4 V 2.64, 4 Al 2.69, 4 Si 2.69
V  0.5000  0.0000  0.5000  4 V 2.64, 4 Al 2.69, 4 Si 2.69
Si  0.5000  0.5000  0.0000  4 Al 2.64, 8 V 2.69


## Al2VSi (PBE)

Data for crystalline Al2VSi at its relaxed geometry.

**SG**: I-42d
**E_form (uncorrected)**: 0.34 eV per atom
**N(E_F)**: 7.08 states/eV/cell

Lattice parameters (Å, degrees): 5.6978 5.6978 5.6978 101.21 101.21 127.67
Closest atoms and distances in Å follow each position.
Fractional positions:
Al  0.0961  0.6250  0.9711  2 Si 2.49, 2 Al 2.55, 2 V 2.78
Al  0.3750  0.3461  0.4711  2 Si 2.49, 2 Al 2.55, 2 V 2.78
Al  0.6539  0.1250  0.0289  2 Si 2.49, 2 Al 2.55, 2 V 2.78
Al  0.8750  0.9039  0.5289  2 Si 2.49, 2 Al 2.55, 2 V 2.78
V  0.2500  0.7500  0.5000  2 Si 2.51, 4 Al 2.78
V  0.5000  0.5000  0.0000  2 Si 2.51, 4 Al 2.78
Si  0.0000  0.0000  0.0000  4 Al 2.49, 2 V 2.51
Si  0.7500  0.2500  0.5000  4 Al 2.49, 2 V 2.51


## AlV4Si (PBE)

Data for crystalline AlV4Si at its relaxed geometry.

**SG**: P4/mmm
**E_form (uncorrected)**: 0.34 eV per atom
**N(E_F)**: 4.39 states/eV/cell

Lattice parameters (Å, degrees): 4.0649 4.0649 5.8376 90.00 90.00 90.00
Closest atoms and distances in Å follow each position.
Fractional positions:
Al  0.0000  0.0000  0.0000  8 V 2.55
V  0.0000  0.5000  0.2626  2 Si 2.46, 2 Al 2.55
V  0.0000  0.5000  0.7375  2 Si 2.46, 2 Al 2.55
V  0.5000  0.0000  0.2626  2 Si 2.46, 2 Al 2.55
V  0.5000  0.0000  0.7375  2 Si 2.46, 2 Al 2.55
Si  0.5000  0.5000  0.5000  8 V 2.46


## AlV2Si (PBE)

Data for crystalline AlV2Si at its relaxed geometry.

**SG**: P2/m
**E_form (uncorrected)**: -0.29 eV per atom
**N(E_F)**: 2.45 states/eV/cell

Lattice parameters (Å, degrees): 2.6591 3.9032 5.2327 90.00 93.45 90.00
Closest atoms and distances in Å follow each position.
Fractional positions:
Al  0.0000  0.0000  0.0000  2 Si 2.62, 2 Al 2.66, 8 V 2.68-2.80
V  0.4224  0.5000  0.7361  4 V 2.53-2.77, 4 Si 2.54-2.81, 4 Al 2.68-2.80
V  0.5776  0.5000  0.2639  4 V 2.53-2.77, 4 Si 2.54-2.81, 4 Al 2.68-2.80
Si  0.0000  0.0000  0.5000  8 V 2.54-2.81, 2 Al 2.62, 2 Si 2.66


## Al2V7Si2 (PBE)

Data for crystalline Al2V7Si2 at its relaxed geometry.

**SG**: Immm
**E_form (uncorrected)**: -0.13 eV per atom
**N(E_F)**: 8.80 states/eV/cell

Lattice parameters (Å, degrees): 6.2953 6.2953 6.2953 139.30 97.99 95.90
Closest atoms and distances in Å follow each position.
Fractional positions:
Al  0.2106  0.0000  0.2106  2 Si 2.56, 10 V 2.63-2.80
Al  0.7894  0.0000  0.7894  2 Si 2.56, 10 V 2.63-2.80
V  0.0000  0.5000  0.5000  4 V 2.31
V  0.0046  0.6983  0.3064  3 V 2.31-2.53
V  0.3919  0.6983  0.6936  3 V 2.31-2.53
V  0.5000  0.2496  0.7496  2 V 2.19
V  0.5000  0.7504  0.2504  2 V 2.19
V  0.6081  0.3017  0.3064  3 V 2.31-2.53
V  0.9954  0.3017  0.6936  3 V 2.31-2.53
Si  0.2228  0.2228  0.0000  2 Al 2.56, 8 V 2.58-2.72
Si  0.7772  0.7772  0.0000  2 Al 2.56, 8 V 2.58-2.72


## AlVSi (PBE)

Data for crystalline AlVSi at its relaxed geometry.

**SG**: P-1
**E_form (uncorrected)**: -0.24 eV per atom
**N(E_F)**: 3.01 states/eV/cell

Lattice parameters (Å, degrees): 4.4662 4.5188 4.7152 83.95 62.25 78.44
Closest atoms and distances in Å follow each position.
Fractional positions:
Al  0.1010  0.2503  0.3414  2 Al 2.60-2.65, 5 Si 2.63-2.91, 5 V 2.63-2.78
Al  0.8990  0.7497  0.6586  2 Al 2.60-2.65, 5 Si 2.63-2.91, 5 V 2.63-2.78
V  0.2303  0.7662  0.9928  5 Si 2.60-2.83, 1 V 2.62, 5 Al 2.63-2.78
V  0.7697  0.2338  0.0072  5 Si 2.60-2.83, 1 V 2.62, 5 Al 2.63-2.78
Si  0.4220  0.2629  0.6852  5 V 2.60-2.83, 2 Si 2.61-2.87, 5 Al 2.63-2.91
Si  0.5780  0.7371  0.3148  5 V 2.60-2.83, 2 Si 2.61-2.87, 5 Al 2.63-2.91


## AlV2Si (PBE)

Data for crystalline AlV2Si at its relaxed geometry.

**SG**: Pm
**E_form (uncorrected)**: -0.28 eV per atom
**N(E_F)**: 2.36 states/eV/cell

Lattice parameters (Å, degrees): 2.6551 4.3012 4.7306 90.00 95.94 90.00
Closest atoms and distances in Å follow each position.
Fractional positions:
Al  0.0000  0.0000  0.0000  7 V 2.51-2.78, 2 Si 2.59, 2 Al 2.66
V  0.4097  0.5000  0.7937  3 Si 2.49-2.78, 4 V 2.61-2.66, 4 Al 2.64-2.78
V  0.5651  0.0000  0.5021  3 Al 2.51-2.75, 4 V 2.61-2.66, 4 Si 2.62-2.78
Si  0.9682  0.5000  0.3025  7 V 2.49-2.78, 2 Al 2.59, 2 Si 2.66


## AlV2Si (PBE)

Data for crystalline AlV2Si at its relaxed geometry.

**SG**: P4/mmm
**E_form (uncorrected)**: -0.21 eV per atom
**N(E_F)**: 3.86 states/eV/cell

Lattice parameters (Å, degrees): 3.1819 3.1819 5.4489 90.00 90.00 90.00
Closest atoms and distances in Å follow each position.
Fractional positions:
Al  0.0000  0.0000  0.0000  2 Si 2.72, 8 V 2.73
V  0.5000  0.5000  0.2841  1 V 2.35, 4 Si 2.54
V  0.5000  0.5000  0.7159  1 V 2.35, 4 Si 2.54
Si  0.0000  0.0000  0.5000  8 V 2.54, 2 Al 2.72